1.
Entry from Alexandria via LeMat-Bulk: a geometry-optimized KBa4Tc structure (PBE-GGA).

The structure in POSCAR format:
```
KBa4Tc
1.0
0.000 5.432 5.432
5.432 0.000 5.432
5.432 5.432 0.000
K Ba Tc
1 4 1
direct
0.000 0.000 0.000 K
0.377 0.377 0.377 Ba
0.377 0.377 0.869 Ba
0.377 0.869 0.377 Ba
0.869 0.377 0.377 Ba
0.750 0.750 0.750 Tc
```

Summary:
ΔE_f = 1024 meV per atom

2.
Entry from Alexandria via LeMat-Bulk: a geometry-optimized KBaTc2 structure (PBE-GGA).

The structure in POSCAR format:
```
KBaTc2
1.0
0.000 3.596 3.596
3.596 0.000 3.596
3.596 3.596 0.000
K Ba Tc
1 1 2
direct
0.000 0.000 0.000 K
0.250 0.250 0.250 Ba
0.500 0.500 0.500 Tc
0.750 0.750 0.750 Tc
```

Summary:
ΔE_f = 1493 meV per atom
excess energy over the best structure of this formula in the dataset = 22.09 kcal/mol of atoms

3.
Entry from Alexandria via LeMat-Bulk: a geometry-optimized KBaTc2 structure (PBE-GGA).

The structure in POSCAR format:
```
KBaTc2
1.0
6.113 -1.869 0.000
6.113 1.869 0.000
-5.298 0.000 7.208
K Ba Tc
1 1 2
direct
0.000 0.000 0.000 K
0.500 0.500 0.500 Ba
0.275 0.275 0.590 Tc
0.725 0.725 0.410 Tc
```

Summary:
ΔE_f = 907 meV per atom
excess energy over the best structure of this formula in the dataset = 8.56 kcal/mol of atoms

4.
Entry from Alexandria via LeMat-Bulk: a geometry-optimized KBaVTc2 structure (PBE-GGA).

The structure in POSCAR format:
```
KBaVTc2
1.0
4.649 0.000 0.000
0.000 4.649 0.000
0.000 0.000 5.946
K Ba V Tc
1 1 1 2
direct
0.000 0.000 0.000 K
0.500 0.500 0.000 Ba
0.500 0.500 0.500 V
0.000 0.500 0.500 Tc
0.500 0.000 0.500 Tc
```

Summary:
ΔE_f = 1178 meV per atom